! ZrP2SI (GGA-PBE, relaxed); values from VASP
&SYSTEM
  ibrav = 0, nat = 5, ntyp = 4
/
ATOMIC_SPECIES
I 126.90 I.upf
P 30.97 P.upf
S 32.06 S.upf
Zr 91.22 Zr.upf
ATOMIC_POSITIONS crystal
I 0.000 0.000 0.000
P 0.000 0.500 0.000
P 0.500 0.000 0.000
S 0.000 0.000 0.500
Zr 0.500 0.500 0.500
CELL_PARAMETERS angstrom
5.026 0.000 0.000
0.000 5.026 0.000
0.000 0.000 4.843
! - relative energy among the computed polymorphs (eV/atom) = 0.928
! - space-group type = No. 123
! - formation energy without anion corrections (meV per atom) = 1124


! Y5TlCd2 (GGA-PBE, relaxed); values from VASP
&SYSTEM
  ibrav = 0, nat = 16, ntyp = 3
/
ATOMIC_SPECIES
Y 88.91 Y.upf
Tl 204.38 Tl.upf
Cd 112.41 Cd.upf
ATOMIC_POSITIONS crystal
Y 0.500 0.345 0.115
Y 0.500 0.655 0.885
Y 0.500 0.845 0.385
Y 0.500 0.155 0.615
Y 0.000 0.847 0.725
Y 0.000 0.153 0.275
Y 0.000 0.347 0.775
Y 0.000 0.653 0.225
Y 0.000 0.500 0.500
Y 0.000 0.000 0.000
Tl 0.000 0.000 0.500
Tl 0.000 0.500 0.000
Cd 0.500 0.378 0.362
Cd 0.500 0.622 0.638
Cd 0.500 0.122 0.862
Cd 0.500 0.878 0.138
CELL_PARAMETERS angstrom
-2.995 4.135 1.324
-0.397 -2.296 6.269
10.650 6.711 3.133
! - ΔE_f (eV per formula unit) = -2.0
! - space-group type = No. 55


! Sb3PdN (GGA-PBE, relaxed); values from VASP
&SYSTEM
  ibrav = 0, nat = 5, ntyp = 3
/
ATOMIC_SPECIES
Sb 121.76 Sb.upf
Pd 106.42 Pd.upf
N 14.01 N.upf
ATOMIC_POSITIONS crystal
Sb 0.000 0.500 0.000
Sb 0.000 0.000 0.500
Sb 0.500 0.000 0.000
Pd 0.000 0.000 0.000
N 0.500 0.500 0.500
CELL_PARAMETERS angstrom
-2.075 1.971 -4.285
1.322 -4.251 -2.596
-4.528 -2.145 1.206
! - relative energy among the computed polymorphs (eV/atom) = 0.981
! - space-group type = No. 221
! - formation energy without anion corrections (meV per atom) = 1470


! Na2Cu2BiPd5 (GGA-PBE, relaxed); values from VASP
&SYSTEM
  ibrav = 0, nat = 20, ntyp = 4
/
ATOMIC_SPECIES
Na 22.99 Na.upf
Cu 63.55 Cu.upf
Bi 208.98 Bi.upf
Pd 106.42 Pd.upf
ATOMIC_POSITIONS crystal
Na 0.000 0.674 0.174
Na 0.000 0.326 0.826
Na 0.000 0.174 0.326
Na 0.000 0.826 0.674
Cu 0.000 0.121 0.621
Cu 0.000 0.879 0.379
Cu 0.000 0.621 0.879
Cu 0.000 0.379 0.121
Bi 0.000 0.000 0.000
Bi 0.000 0.500 0.500
Pd 0.500 0.210 0.071
Pd 0.500 0.790 0.929
Pd 0.500 0.071 0.790
Pd 0.500 0.710 0.429
Pd 0.500 0.929 0.210
Pd 0.500 0.290 0.571
Pd 0.500 0.571 0.710
Pd 0.500 0.429 0.290
Pd 0.500 0.500 0.000
Pd 0.500 0.000 0.500
CELL_PARAMETERS angstrom
-0.424 0.824 3.830
8.670 -3.399 1.690
3.657 8.609 -1.447
! - ΔE_f (eV per formula unit) = -1.6
! - space-group type = No. 127


! FeSb (GGA-PBE, relaxed); values from VASP
&SYSTEM
  ibrav = 0, nat = 2, ntyp = 2
/
ATOMIC_SPECIES
Sb 121.76 Sb.upf
Fe 55.84 Fe.upf
ATOMIC_POSITIONS crystal
Sb 0.333 0.667 0.500
Fe 0.667 0.333 0.000
CELL_PARAMETERS angstrom
-2.152 -2.760 0.932
3.296 0.304 1.471
-1.204 1.728 2.339
! - space-group type = No. 187
! - formation energy without anion corrections (meV per atom) = 291


! La2TaInCo (GGA-PBE, relaxed); values from VASP
&SYSTEM
  ibrav = 0, nat = 5, ntyp = 4
/
ATOMIC_SPECIES
Co 58.93 Co.upf
La 138.91 La.upf
In 114.82 In.upf
Ta 180.95 Ta.upf
ATOMIC_POSITIONS crystal
Co 0.500 0.500 0.500
La 0.000 0.000 0.500
La 0.500 0.000 0.000
In 0.000 0.000 0.000
Ta 0.000 0.500 0.000
CELL_PARAMETERS angstrom
5.922 0.000 0.000
0.000 5.133 0.000
0.000 0.000 5.922
! - ΔE_f (eV per formula unit) = 7.7
! - space-group type = No. 123


! PmPrY2 (GGA-PBE, relaxed); values from VASP
&SYSTEM
  ibrav = 0, nat = 8, ntyp = 3
/
ATOMIC_SPECIES
Pm 145.00 Pm.upf
Pr 140.91 Pr.upf
Y 88.91 Y.upf
ATOMIC_POSITIONS crystal
Pm 0.201 0.985 0.317
Pm 0.701 0.482 0.899
Pr 0.201 0.983 0.818
Pr 0.701 0.484 0.398
Y 0.701 0.983 0.149
Y 0.701 0.983 0.649
Y 0.201 0.483 0.567
Y 0.201 0.483 0.067
CELL_PARAMETERS angstrom
5.828 -0.021 0.012
0.013 3.682 -0.012
-0.027 0.045 12.719
! - ΔE_f (eV per formula unit) = 0.1
! - relative energy among the computed polymorphs (eV/atom) = 0.012
! - space-group type = No. 11


! MnIn2Ir (GGA-PBE, relaxed); values from VASP
&SYSTEM
  ibrav = 0, nat = 4, ntyp = 3
/
ATOMIC_SPECIES
In 114.82 In.upf
Ir 192.22 Ir.upf
Mn 54.94 Mn.upf
ATOMIC_POSITIONS crystal
In 0.999 0.999 0.000
In 0.251 0.751 0.500
Ir 0.502 0.502 0.000
Mn 0.748 0.248 0.500
CELL_PARAMETERS angstrom
5.157 -0.027 -0.070
1.975 4.763 0.070
-3.509 -2.454 2.874
! - ΔE_f (eV per formula unit) = 0.3
! - space-group type = No. 44


no.,total magnetic moment (μB per cell),D(E_F) (states/eV/f.u.)
1,0.268,2.45
2,0.002,9.70
3,0.000,4.92
4,0.000,4.60
5,1.365,1.54
6,3.137,6.52
7,0.001,7.72
8,3.951,2.21